Material: Tb2Nd2Se2S3
Method: DFT, GGA-PBE
State: optimized geometry

Geometry as CIF:
```
data_Tb2Nd2Se2S3
_chemical_formula_sum 'Tb4 Nd4 Se4 S6'
_cell_length_a 5.421
_cell_length_b 5.421
_cell_length_c 15.060
_cell_angle_alpha 90.00
_cell_angle_beta 90.00
_cell_angle_gamma 90.00
_space_group_name_H-M_alt 'I 4/m m m'
_space_group_IT_number 139
_space_group_name_Hall '-I 4 2'
loop_
_atom_site_label
_atom_site_fract_x
_atom_site_fract_y
_atom_site_fract_z
Tb1 0.000 0.500 0.000
Nd1 0.000 0.000 0.201
Se1 0.000 0.000 0.398
S1 0.000 0.000 0.000
S2 0.000 0.500 0.250
```

## Properties
DOS(E_F) (states/eV per atom): 0.536
Calculated total energy (eV per atom): -5.930
Mass density (g/cm3): 6.5